1.
DFT (PBE-GGA) results for a relaxed structure of AsRu2.

Structure (CIF):
```
data_AsRu2
_space_group_name_H-M_alt 'C m c m'
_space_group_IT_number 63
_space_group_name_Hall '-C 2c 2'
_cell_length_a 4.037
_cell_length_b 10.054
_cell_length_c 4.390
_cell_angle_alpha 90.00
_cell_angle_beta 90.00
_cell_angle_gamma 90.00
loop_
_atom_site_label
_atom_site_fract_x
_atom_site_fract_y
_atom_site_fract_z
As1 0.000 0.115 0.250
Ru1 0.000 0.239 0.750
Ru2 0.000 0.449 0.250
```

energy relative to the elements	0.068	eV per atom
total DFT energy (no corrections)	-92.0	eV for the cell shown
V	178.18	Å³/cell
total magnetic moment	0.0	Bohr magnetons per cell


2.
DFT (PBE-GGA) results for a relaxed structure of TbErSe2.

Structure (CIF):
```
data_TbErSe2
_space_group_name_H-M_alt 'R 3 m'
_space_group_IT_number 160
_space_group_name_Hall 'R 3 -2"'
_cell_length_a 3.9652
_cell_length_b 3.9652
_cell_length_c 21.1887
_cell_angle_alpha 90.00
_cell_angle_beta 90.00
_cell_angle_gamma 120.00
loop_
_atom_site_label
_atom_site_fract_x
_atom_site_fract_y
_atom_site_fract_z
Tb1 0.0000 0.0000 0.0000
Er1 0.0000 0.0000 0.8230
Se1 0.0000 0.0000 0.2421
Se2 0.0000 0.0000 0.4147
```

total DFT energy (no corrections)	-69.3	eV for the cell shown
V	288.51	Å³/cell
energy relative to the elements, uncorrected	-167.7	kJ per mole of atoms
energy above the lowest structure with this stoichiometry	0.0	kJ per mole of atoms
total magnetic moment	0.0	Bohr magnetons per cell